Entry 1:
Here is a relaxed structure of YPuAu from Alexandria. Energies are from PBE-GGA.

Output
Energy above the most stable polymorph in this dataset in kJ per mole of atoms: 0.0
Raw total energy in eV per formula unit: -25.06
Calculated formation energy in kJ/mol of atoms: -31.9
Space-group type: I4mm, No. 107
Total moment in μB per formula unit: 6.4

a b c (Å): 3.593 3.593 6.663
angles (deg): 105.64 105.64 90.00
Site moments in Bohr magnetons follow the coordinates.
Sites, in units of the cell vectors:
Y 0.309 0.309 0.617  0.20
Pu 0.017 0.017 0.034  5.58
Au 0.675 0.675 0.349  0.02

Entry 2:
Here is a relaxed structure of RbRuSe2O8 from Alexandria. Energies are from PBE-GGA.

Output
Formation energy (no corrections) in kJ/mol of atoms: -82
Raw total energy in eV per formula unit: -67.10
Space-group type: R-3, No. 148
Total moment in μB per formula unit: 1.0

a b c (Å): 5.064 5.064 9.282
angles (deg): 74.17 74.17 60.00
Site moments in Bohr magnetons follow the coordinates.
Sites, in units of the cell vectors:
O 0.971 0.624 0.137  0.02
O 0.733 0.029 0.863  0.02
Se 0.268 0.268 0.195  0.00
O 0.624 0.267 0.137  0.02
Se 0.732 0.732 0.805  0.00
O 0.376 0.733 0.863  0.02
O 0.267 0.971 0.137  0.02
Ru 0.000 0.000 0.000  0.79
O 0.794 0.794 0.617  0.00
O 0.206 0.206 0.383  0.00
Rb 0.500 0.500 0.500  0.00
O 0.029 0.376 0.863  0.02

Entry 3:
Here is a relaxed structure of CrRe2Hg from Alexandria. Energies are from PBE-GGA.

Output
Raw total energy in eV per formula unit: -32.73
Calculated formation energy in kJ/mol of atoms: 50.4
Space-group type: Cmmm, No. 65
Total moment in μB per formula unit: 0.3

a b c (Å): 2.720 2.720 9.289
angles (deg): 90.00 90.00 112.71
Site moments in Bohr magnetons follow the coordinates.
Sites, in units of the cell vectors:
Hg 0.500 0.500 0.750  0.00
Re 0.000 0.000 0.034  -0.02
Re 0.000 0.000 0.466  -0.02
Cr 0.500 0.500 0.250  0.28

Entry 4:
Here is a relaxed structure of Ta3Au from Alexandria. Energies are from PBE-GGA.

Output
Energy above the most stable polymorph in this dataset in kJ per mole of atoms: 1.8
Raw total energy in eV per formula unit: -38.96
Calculated formation energy in kJ/mol of atoms: -3.1
Space-group type: P4/mmm, No. 123
Total moment in μB per formula unit: 0.0

a b c (Å): 3.390 3.390 6.295
angles (deg): 90.00 90.00 90.00
Sites, in units of the cell vectors:
Au 0.000 0.000 0.000
Ta 0.500 0.500 0.261
Ta 0.500 0.500 0.739
Ta 0.000 0.000 0.500

Entry 5:
Here is a relaxed structure of CaHf2PtPb from Alexandria. Energies are from PBE-GGA.

Output
Raw total energy in eV per formula unit: -26.82
Calculated formation energy in kJ/mol of atoms: 93.4
Space-group type: P4/mmm, No. 123
Total moment in μB per formula unit: 0.0

a b c (Å): 5.399 5.181 5.399
angles (deg): 90.00 90.00 90.00
Sites, in units of the cell vectors:
Hf 0.500 0.000 0.000
Hf 0.000 0.000 0.500
Ca 0.500 0.500 0.500
Pt 0.000 0.500 0.000
Pb 0.000 0.000 0.000

Entry 6:
Here is a relaxed structure of YTeCl2 from Alexandria. Energies are from PBE-GGA.

Output
Energy above the most stable polymorph in this dataset in kJ per mole of atoms: 68.1
Formation energy (no corrections) in kJ/mol of atoms: -87
Raw total energy in eV per formula unit: -16.90
Space-group type: Fm-3m, No. 225
Total moment in μB per formula unit: 0.0

a b c (Å): 5.141 5.141 5.141
angles (deg): 60.00 60.00 60.00
Sites, in units of the cell vectors:
Y 0.500 0.500 0.500
Cl 0.250 0.250 0.250
Cl 0.750 0.750 0.750
Te 0.000 0.000 0.000

Entry 7:
Here is a relaxed structure of ZrAgRh2 from Alexandria. Energies are from PBE-GGA.

Output
Raw total energy in eV per formula unit: -27.55
Calculated formation energy in kJ/mol of atoms: -34.8
Space-group type: I-4m2, No. 119
Total moment in μB per formula unit: 0.0

a b c (Å): 5.043 5.043 5.043
angles (deg): 133.56 133.56 67.78
Sites, in units of the cell vectors:
Rh 0.750 0.250 0.500
Rh 0.000 0.000 0.000
Zr 0.500 0.500 0.000
Ag 0.250 0.750 0.500

Entry 8:
Here is a relaxed structure of Pr3RhCl from Alexandria. Energies are from PBE-GGA.

Output
Formation energy (no corrections) in kJ/mol of atoms: -74
Raw total energy in eV per formula unit: -27.39
Space-group type: Pmmn, No. 59
Total moment in μB per formula unit: 0.0

a b c (Å): 3.884 9.973 7.711
angles (deg): 90.00 90.00 90.00
Sites, in units of the cell vectors:
Pr 0.250 0.070 0.175
Pr 0.750 0.750 0.282
Rh 0.750 0.250 0.971
Rh 0.250 0.750 0.029
Pr 0.750 0.570 0.825
Cl 0.250 0.750 0.592
Pr 0.250 0.430 0.175
Cl 0.750 0.250 0.408
Pr 0.250 0.250 0.718
Pr 0.750 0.930 0.825